A geometry-optimized La8Tl2Ga structure, computed with GGA-PBE.

Output
The energy relative to the elements comes out at -0.26 eV/atom. For the density, the calculation gives 7.3 g/cm³. The crystal system is monoclinic.

a b c (Å): 5.406 7.158 10.230
angles (deg): 107.87 105.32 90.00
Atoms (fractional coordinates):
La  0.412  0.541  0.824
La  0.656  0.983  0.311
La  0.792  0.694  0.584
La  0.996  0.231  0.991
La  0.208  0.306  0.416
La  0.344  0.017  0.689
La  0.588  0.459  0.176
La  0.004  0.769  0.009
Tl  0.828  0.270  0.655
Tl  0.172  0.730  0.345
Ga  0.500  0.000  0.000

A geometry-optimized Er3SiSb structure, computed with GGA-PBE.

Output
The formation energy (no corrections) comes out at -0.5595 eV/atom. For the density, the calculation gives 7.2 g/cm³. The crystal system is triclinic.

a b c (Å): 7.200 7.211 7.884
angles (deg): 62.85 62.88 60.08
Atoms (fractional coordinates):
Er  0.810  0.409  0.760
Er  0.021  0.810  0.760
Er  0.410  0.021  0.760
Er  0.190  0.591  0.240
Er  0.979  0.190  0.240
Er  0.590  0.979  0.240
Si  0.833  0.832  0.503
Si  0.167  0.168  0.497
Sb  0.361  0.362  0.915
Sb  0.639  0.638  0.085

A geometry-optimized Ac4C2I5 structure, computed with GGA-PBE.

Output
As for the excess energy over the best structure of this formula in the dataset: 13 kJ/mol of formula units. The formation energy (no corrections) comes out at -1.0639 eV/atom. For the density, the calculation gives 6.5 g/cm³. The crystal system is orthorhombic.

a b c (Å): 4.257 9.222 11.439
angles (deg): 113.77 100.72 90.00
Atoms (fractional coordinates):
Ac  0.000  0.305  0.000
Ac  0.653  0.653  0.306
Ac  0.000  0.695  0.000
Ac  0.347  0.347  0.694
C  0.465  0.465  0.931
C  0.535  0.535  0.069
I  0.838  0.058  0.676
I  0.838  0.618  0.676
I  0.162  0.382  0.324
I  0.162  0.942  0.324
I  0.500  0.000  0.000

A geometry-optimized La2DyErS4 structure, computed with GGA-PBE.

Output
The formation energy (no corrections) comes out at -2.0778 eV/atom. For the density, the calculation gives 6.7 g/cm³. The crystal system is monoclinic.

a b c (Å): 3.958 6.898 7.101
angles (deg): 108.73 90.00 90.00
Atoms (fractional coordinates):
La  0.500  0.000  0.500
La  0.000  0.500  0.500
Dy  0.500  0.500  0.000
Er  0.000  0.000  0.000
S  0.500  0.240  0.226
S  0.500  0.760  0.774
S  0.000  0.256  0.772
S  0.000  0.744  0.228

A geometry-optimized BaCaCr2 structure, computed with GGA-PBE.

Output
As for the excess energy over the best structure of this formula in the dataset: 0 kJ/mol of formula units. The energy relative to the elements comes out at 0.49 eV/atom. For the density, the calculation gives 3.5 g/cm³. The crystal system is trigonal.

a b c (Å): 8.654 8.654 8.654
angles (deg): 29.06 29.06 29.06
Site moments in Bohr magnetons follow the coordinates.
Atoms (fractional coordinates):
Cr  0.963  0.963  0.963  3.23
Cr  0.296  0.296  0.296  -3.23
Ca  0.711  0.711  0.711  0.00
Ba  0.531  0.531  0.531  -0.01

A geometry-optimized CePu5Rh6 structure, computed with GGA-PBE.

Output
The energy relative to the elements comes out at -0.45 eV/atom. For the density, the calculation gives 13.5 g/cm³. The crystal system is triclinic.

a b c (Å): 4.796 6.775 8.558
angles (deg): 113.37 106.26 89.91
Site moments in Bohr magnetons follow the coordinates.
Atoms (fractional coordinates):
Rh  0.831  0.584  0.663  0.28
Rh  0.831  0.079  0.663  0.28
Rh  0.500  0.750  0.000  0.07
Rh  0.500  0.250  0.000  0.07
Rh  0.169  0.921  0.337  0.28
Rh  0.169  0.416  0.337  0.28
Ce  0.000  0.000  0.000  -0.28
Pu  0.668  0.168  0.336  -5.04
Pu  0.336  0.336  0.672  -5.02
Pu  0.000  0.500  0.000  4.93
Pu  0.664  0.664  0.328  -5.02
Pu  0.332  0.832  0.664  -5.04

A geometry-optimized PPb8 structure, computed with GGA-PBE.

Output
The energy relative to the elements comes out at 0.13 eV/atom. For the density, the calculation gives 10.4 g/cm³. The crystal system is tetragonal.

a b c (Å): 7.871 7.871 7.871
angles (deg): 95.31 95.31 144.57
Atoms (fractional coordinates):
P  0.000  0.000  0.000
Pb  0.342  0.342  0.683
Pb  0.658  0.658  0.317
Pb  0.000  0.672  0.672
Pb  0.658  0.342  0.000
Pb  0.328  0.000  0.328
Pb  0.342  0.658  0.000
Pb  0.000  0.328  0.328
Pb  0.672  0.000  0.672

A geometry-optimized LiEuMg2 structure, computed with GGA-PBE.

Output
As for the excess energy over the best structure of this formula in the dataset: 35 kJ/mol of formula units. The energy relative to the elements comes out at 0.04 eV/atom. For the density, the calculation gives 3.0 g/cm³. The crystal system is tetragonal.

a b c (Å): 5.044 4.733 4.733
angles (deg): 90.00 90.00 90.00
Site moments in Bohr magnetons follow the coordinates.
Atoms (fractional coordinates):
Eu  0.500  0.000  0.000  6.96
Mg  0.000  0.000  0.500  0.01
Mg  0.000  0.500  0.000  0.01
Li  0.500  0.500  0.500  0.03

Summary of spin magnetization in μB per cell
0.0 0.0 0.0 0.0 0.0 14.9 0.0 7.7
(order as listed above)